(1)
# Th3MnNi8 | Alexandria via LeMat-Bulk | PBE | relaxed
# magnetic moment: 4.4 μB/f.u.
# energy relative to the elements: -0.3387 eV/atom
# DOS(E_F): 26.785 states/eV/cell
data_Th3MnNi8
_chemical_formula_sum 'Th9 Mn3 Ni24'
_symmetry_space_group_name_H-M 'R 3 m'
_symmetry_Int_Tables_number 160
_symmetry_space_group_name_Hall 'R 3 -2"'
_cell_length_a 5.0696
_cell_length_b 5.0696
_cell_length_c 25.1993
_cell_angle_alpha 90.00
_cell_angle_beta 90.00
_cell_angle_gamma 120.00
loop_
_atom_site_label
_atom_site_fract_x
_atom_site_fract_y
_atom_site_fract_z
_atom_site_occupancy
Th1 0.0000 0.0000 0.0000 1
Th2 0.0000 0.0000 0.1291 1
Th3 0.0000 0.0000 0.6066 1
Mn1 0.0000 0.0000 0.4839 1
Ni1 0.0000 0.0000 0.3087 1
Ni2 0.0000 0.0000 0.8088 1
Ni3 0.0008 0.5004 0.0597 1
Ni4 0.0050 0.5025 0.5572 1


(2)
# SmDy5Y | Alexandria via LeMat-Bulk | PBE | relaxed
# magnetic moment: 0.0 μB/f.u.
# energy relative to the elements: 1.0988 eV/atom
# ΔE to the lowest computed polymorph: 6.40 eV/f.u.
# DOS(E_F): 17.901 states/eV/cell
data_SmDy5Y
_chemical_formula_sum 'Sm2 Dy10 Y2'
_symmetry_space_group_name_H-M 'I m m m'
_symmetry_Int_Tables_number 71
_symmetry_space_group_name_Hall '-I 2 2'
_cell_length_a 5.787
_cell_length_b 8.612
_cell_length_c 11.930
_cell_angle_alpha 90.00
_cell_angle_beta 90.00
_cell_angle_gamma 90.00
loop_
_atom_site_label
_atom_site_fract_x
_atom_site_fract_y
_atom_site_fract_z
_atom_site_occupancy
Sm1 0.000 0.000 0.000 1
Dy1 0.000 0.000 0.245 1
Dy2 0.000 0.322 0.000 1
Dy3 0.000 0.500 0.500 1
Y1 0.000 0.000 0.500 1


(3)
# TlAu | Alexandria via LeMat-Bulk | PBE | relaxed
# magnetic moment: 0.0 μB/f.u.
# energy relative to the elements: 0.0464 eV/atom
# DOS(E_F): 4.175 states/eV/cell
data_TlAu
_chemical_formula_sum 'Tl8 Au8'
_symmetry_space_group_name_H-M 'I 4/m'
_symmetry_Int_Tables_number 87
_symmetry_space_group_name_Hall '-I 4'
_cell_length_a 11.065
_cell_length_b 11.065
_cell_length_c 3.299
_cell_angle_alpha 90.00
_cell_angle_beta 90.00
_cell_angle_gamma 90.00
loop_
_atom_site_label
_atom_site_fract_x
_atom_site_fract_y
_atom_site_fract_z
_atom_site_occupancy
Tl1 0.139 0.155 0.000 1
Au1 0.095 0.381 0.500 1


(4)
# As2IrBr | Alexandria via LeMat-Bulk | PBE | relaxed
# magnetic moment: 0.0 μB/f.u.
# formation energy without anion corrections: 0.35 eV/atom
# ΔE to the lowest computed polymorph: 2.12 eV/f.u.
# DOS(E_F): 2.530 states/eV/cell
data_As2IrBr
_chemical_formula_sum 'As2 Ir1 Br1'
_symmetry_space_group_name_H-M 'P 4 m m'
_symmetry_Int_Tables_number 99
_symmetry_space_group_name_Hall 'P 4 -2'
_cell_length_a 3.398
_cell_length_b 3.398
_cell_length_c 7.461
_cell_angle_alpha 90.00
_cell_angle_beta 90.00
_cell_angle_gamma 90.00
loop_
_atom_site_label
_atom_site_fract_x
_atom_site_fract_y
_atom_site_fract_z
_atom_site_occupancy
As1 0.000 0.000 0.000 1
As2 0.500 0.500 0.202 1
Ir1 0.500 0.500 0.866 1
Br1 0.000 0.000 0.598 1


(5)
# SbSBrCl2 | Alexandria via LeMat-Bulk | PBE | relaxed
# magnetic moment: 1.0 μB/f.u.
# formation energy without anion corrections: 0.64 eV/atom
# ΔE to the lowest computed polymorph: 3.19 eV/f.u.
# DOS(E_F): 3.398 states/eV/cell
data_SbSBrCl2
_chemical_formula_sum 'Sb1 S1 Br1 Cl2'
_symmetry_space_group_name_H-M 'P 4/m m m'
_symmetry_Int_Tables_number 123
_symmetry_space_group_name_Hall '-P 4 2'
_cell_length_a 5.046
_cell_length_b 5.046
_cell_length_c 5.378
_cell_angle_alpha 90.00
_cell_angle_beta 90.00
_cell_angle_gamma 90.00
loop_
_atom_site_label
_atom_site_fract_x
_atom_site_fract_y
_atom_site_fract_z
_atom_site_occupancy
Sb1 0.000 0.000 0.000 1
S1 0.500 0.500 0.000 1
Br1 0.500 0.500 0.500 1
Cl1 0.000 0.500 0.500 1


(6)
# AgPbCl5 | Alexandria via LeMat-Bulk | PBE | relaxed
# magnetic moment: 0.0 μB/f.u.
# formation energy without anion corrections: -0.56 eV/atom
# ΔE to the lowest computed polymorph: 0.06 eV/f.u.
data_AgPbCl5
_chemical_formula_sum 'Ag4 Pb4 Cl20'
_symmetry_space_group_name_H-M 'C 1 2/c 1'
_symmetry_Int_Tables_number 15
_symmetry_space_group_name_Hall '-C 2yc'
_cell_length_a 10.200
_cell_length_b 18.300
_cell_length_c 7.145
_cell_angle_alpha 90.00
_cell_angle_beta 129.51
_cell_angle_gamma 90.00
loop_
_atom_site_label
_atom_site_fract_x
_atom_site_fract_y
_atom_site_fract_z
_atom_site_occupancy
Ag1 0.000 0.000 0.000 1
Pb1 0.000 0.350 0.250 1
Cl1 0.000 0.088 0.750 1
Cl2 0.123 0.273 0.117 1
Cl3 0.230 0.431 0.585 1


(7)
# Ti12TcSn6 | Alexandria via LeMat-Bulk | PBE | relaxed
# magnetic moment: 0.0 μB/f.u.
# energy relative to the elements: -0.1749 eV/atom
# DOS(E_F): 57.766 states/eV/cell
data_Ti12TcSn6
_chemical_formula_sum 'Ti36 Tc3 Sn18'
_symmetry_space_group_name_H-M 'R -3'
_symmetry_Int_Tables_number 148
_symmetry_space_group_name_Hall '-R 3'
_cell_length_a 10.1365
_cell_length_b 10.1365
_cell_length_c 11.8807
_cell_angle_alpha 90.00
_cell_angle_beta 90.00
_cell_angle_gamma 120.00
loop_
_atom_site_label
_atom_site_fract_x
_atom_site_fract_y
_atom_site_fract_z
_atom_site_occupancy
Ti1 0.0472 0.1794 0.3109 1
Ti2 0.0615 0.8589 0.9091 1
Tc1 0.0000 0.0000 0.5000 1
Sn1 0.0240 0.4310 0.2135 1


(8)
# CaPm4Tm3Se8 | Alexandria via LeMat-Bulk | PBE | relaxed
# magnetic moment: 0.0 μB/f.u.
# formation energy without anion corrections: -1.79 eV/atom
# DOS(E_F): 25.369 states/eV/cell
data_CaPm4Tm3Se8
_chemical_formula_sum 'Ca3 Pm12 Tm9 Se24'
_symmetry_space_group_name_H-M 'R -3 m'
_symmetry_Int_Tables_number 166
_symmetry_space_group_name_Hall '-R 3 2"'
_cell_length_a 8.1626
_cell_length_b 8.1626
_cell_length_c 20.6719
_cell_angle_alpha 90.00
_cell_angle_beta 90.00
_cell_angle_gamma 120.00
loop_
_atom_site_label
_atom_site_fract_x
_atom_site_fract_y
_atom_site_fract_z
_atom_site_occupancy
Ca1 0.0000 0.0000 0.0000 1
Pm1 0.0000 0.0000 0.5000 1
Pm2 0.0000 0.5000 0.5000 1
Tm1 0.0000 0.5000 0.0000 1
Se1 0.0000 0.0000 0.2558 1
Se2 0.0034 0.5017 0.2551 1


> Number 8 is which compound?

CaPm4Tm3Se8


> Look up the magnetic moment of the eighth one.

0.0 μB/f.u.